Record 1
4
Lattice="-1.856 1.889 7.586 1.856 -1.889 7.586 1.856 1.889 -7.586" Properties=species:S:1:pos:R:3 comment="ZrNiTe2, relaxed, DFT PBE" raw_formation_energy_ev_per_fu=-2.15 spacegroup=Imm2 pbc="T T T"
Zr 0.000 0.000 0.000
Ni 1.856 0.000 2.045
Te 0.000 0.000 6.206
Te 0.000 1.889 2.269

Record 2
3
Lattice="0.000 3.408 3.408 3.408 0.000 3.408 3.408 3.408 0.000" Properties=species:S:1:pos:R:3 comment="ZrTlCl, relaxed, DFT PBE" raw_formation_energy_ev_per_fu=0.61 spacegroup=F-43m pbc="T T T"
Zr 0.000 0.000 0.000
Tl 5.111 5.111 5.111
Cl 1.704 1.704 1.704

Record 3
5
Lattice="-2.848 2.848 3.895 2.848 -2.848 3.895 2.848 2.848 -3.895" Properties=species:S:1:pos:R:3 comment="La2FePd2, relaxed, DFT PBE" spacegroup=I4/mmm pbc="T T T"
La 2.848 0.000 1.947
La 0.000 2.848 1.947
Fe 0.000 0.000 0.000
Pd 0.000 0.000 2.566
Pd 0.000 0.000 5.224

Record 4
8
Lattice="0.000 4.613 4.613 4.613 0.000 4.613 4.613 4.613 0.000" Properties=species:S:1:pos:R:3 comment="LaTi2B, relaxed, DFT PBE" spacegroup=Fd-3m pbc="T T T"
La 1.153 1.153 1.153
La 8.072 8.072 8.072
Ti 4.613 2.306 2.306
Ti 2.306 4.613 2.306
Ti 2.306 2.306 4.613
Ti 4.613 4.613 4.613
B 3.460 3.460 3.460
B 5.766 5.766 5.766

Record 5
11
Lattice="6.534 -3.529 0.000 6.534 3.529 0.000 -6.524 0.000 8.833" Properties=species:S:1:pos:R:3 comment="Ac2Pr5Sm4, relaxed, DFT PBE" spacegroup=C2/m pbc="T T T"
Ac -0.730 0.000 2.155
Ac 7.275 0.000 6.677
Pr 2.294 1.882 2.940
Pr 4.251 1.882 5.893
Pr 6.534 0.000 0.000
Pr 2.294 -1.882 2.940
Pr 4.251 -1.882 5.893
Sm 3.213 0.000 0.295
Sm 1.034 0.000 5.540
Sm 5.510 0.000 3.293
Sm 3.332 0.000 8.538

Record 6
12
Lattice="4.364 0.000 0.000 0.000 6.200 0.000 -2.174 0.000 6.528" Properties=species:S:1:pos:R:3 comment="HoZn5Rh6, relaxed, DFT PBE" spacegroup=P2/m pbc="T T T"
Ho 0.000 0.000 0.000
Zn 0.000 3.100 0.000
Zn 0.005 0.000 4.357
Zn 0.005 3.100 4.373
Zn 2.185 3.100 2.156
Zn 2.185 0.000 2.171
Rh 0.003 1.601 2.259
Rh 0.003 4.599 2.259
Rh 2.182 1.658 0.000
Rh 2.182 4.542 0.000
Rh 2.186 1.601 4.270
Rh 2.186 4.599 4.270

Record 7
4
Lattice="0.000 3.702 3.702 3.702 0.000 3.702 3.702 3.702 0.000" Properties=species:S:1:pos:R:3 comment="LiDyTmIn, relaxed, DFT PBE" spacegroup=F-43m pbc="T T T"
Li 0.000 0.000 0.000
Dy 1.851 1.851 1.851
Tm 5.553 5.553 5.553
In 3.702 3.702 3.702

no.,final energy (eV for the cell shown)
1,-22.8
2,-12.2
3,-30.0
4,-50.5
5,-49.5
6,-60.9
7,-14.8